A plane-wave DFT calculation with SCAN was carried out for a PBEsol-optimized structure of La2ZnFe.

abc: 4.8792 4.8792 4.8792
angles: 60.00 60.00 60.00
Closest atoms and distances in Å follow each position.
Sites, in units of the cell vectors:
La (0.0000, 0.0000, 0.0000)  4 La 2.99, 4 Fe 2.99
La (0.2500, 0.2500, 0.2500)  4 La 2.99, 4 Zn 2.99
Zn (0.5000, 0.5000, 0.5000)  4 La 2.99, 4 Fe 2.99
Fe (0.7500, 0.7500, 0.7500)  4 La 2.99, 4 Zn 2.99

Summary:
**DOS(E_F)**: 1.15 states/eV/cell
**Formation enthalpy at 0 K**: 0.113 eV per atom
**ρ**: 8.1 g/cm³
**SG**: No. 216